Record 1
DFT (GGA-PBE) results for a relaxed structure of Sr2CeCdSe5.

Unit cell a=9.374 b=9.374 c=13.158 alpha=90.00 beta=90.00 gamma=153.49
Element x y z (fractional)
Sr 0.106 0.894 0.500
Sr 0.125 0.875 0.134
Sr 0.875 0.125 0.634
Sr 0.894 0.106 0.000
Ce 0.212 0.788 0.839
Ce 0.788 0.212 0.339
Cd 0.452 0.548 0.271
Cd 0.548 0.452 0.771
Se 0.058 0.942 0.888
Se 0.283 0.717 0.486
Se 0.303 0.697 0.192
Se 0.365 0.635 0.823
Se 0.497 0.503 0.589
Se 0.503 0.497 0.089
Se 0.635 0.365 0.323
Se 0.697 0.303 0.692
Se 0.717 0.283 0.986
Se 0.942 0.058 0.388

Formation energy (no corrections), meV per atom: -1566
E_tot, eV per atom: -4.64



Record 2
DFT (GGA-PBE) results for a relaxed structure of Ce6CdSi.

Unit cell a=4.673 b=4.673 c=9.348 alpha=90.00 beta=90.00 gamma=90.00
Element x y z (fractional)
Ce 0.000 0.000 0.000
Ce 0.000 0.000 0.500
Ce 0.000 0.500 0.232
Ce 0.000 0.500 0.768
Ce 0.500 0.000 0.232
Ce 0.500 0.000 0.768
Cd 0.500 0.500 0.500
Si 0.500 0.500 0.000

Fermi-level density of states, states/eV/f.u.: 23.93
Formation energy (no corrections), meV per atom: -177
E_tot, eV per atom: -5.42



Question: Which value of E_tot does entry 2 give?
Answer: -5.42 eV per atom



Repeat the first record exactly.
DFT (GGA-PBE) results for a relaxed structure of Sr2CeCdSe5.

Unit cell a=9.374 b=9.374 c=13.158 alpha=90.00 beta=90.00 gamma=153.49
Element x y z (fractional)
Sr 0.106 0.894 0.500
Sr 0.125 0.875 0.134
Sr 0.875 0.125 0.634
Sr 0.894 0.106 0.000
Ce 0.212 0.788 0.839
Ce 0.788 0.212 0.339
Cd 0.452 0.548 0.271
Cd 0.548 0.452 0.771
Se 0.058 0.942 0.888
Se 0.283 0.717 0.486
Se 0.303 0.697 0.192
Se 0.365 0.635 0.823
Se 0.497 0.503 0.589
Se 0.503 0.497 0.089
Se 0.635 0.365 0.323
Se 0.697 0.303 0.692
Se 0.717 0.283 0.986
Se 0.942 0.058 0.388

Formation energy (no corrections), meV per atom: -1566
E_tot, eV per atom: -4.64